Crystalline TiIn3Ni at its relaxed geometry. Source: the Alexandria database, functional PBE.

Properties
E above lowest polymorph ... 653.7 meV per atom
Calculated volume ... 29.533 A^3/atom
SG ... No. 221
DFT total energy ... -3.36 eV per atom
Total moment ... 0.5 μB per formula unit

Cell: 5.286 5.286 5.286 Å, 90.00 90.00 90.00°
Last column: magnetic moment on the atom in μB.
Fractional coordinates of all 5 atoms:
Ni 0.500 0.500 0.500  0.68
Ti 0.000 0.000 0.000  -0.13
In 0.000 0.500 0.000  -0.02
In 0.000 0.000 0.500  -0.01
In 0.500 0.000 0.000  -0.01